HgBi2Cl2 at its PBEsol-relaxed geometry. Source: the Alexandria database, functional SCAN.

The structure in CIF format:
```
data_HgBi2Cl2
_symmetry_space_group_name_H-M 'P 4/m b m'
_symmetry_Int_Tables_number 127
_symmetry_space_group_name_Hall '-P 4 2ab'
_cell_length_a 7.735
_cell_length_b 7.735
_cell_length_c 5.352
_cell_angle_alpha 90.00
_cell_angle_beta 90.00
_cell_angle_gamma 90.00
loop_
_atom_site_label
_atom_site_type_symbol
_atom_site_fract_x
_atom_site_fract_y
_atom_site_fract_z
Hg1 Hg 0.000 0.000 0.000
Bi1 Bi 0.144 0.356 0.000
Cl1 Cl 0.188 0.312 0.500
```

Results
density of states at the Fermi level = 2.263 states/eV per cell
magnetization = 0.0 μB per formula unit
ΔE_f (raw) = -0.380 eV/atom



HgBiCl3 at its PBEsol-relaxed geometry. Source: the Alexandria database, functional SCAN.

The structure in CIF format:
```
data_HgBiCl3
_symmetry_space_group_name_H-M 'P m -3 m'
_symmetry_Int_Tables_number 221
_symmetry_space_group_name_Hall '-P 4 2 3'
_cell_length_a 5.365
_cell_length_b 5.365
_cell_length_c 5.365
_cell_angle_alpha 90.00
_cell_angle_beta 90.00
_cell_angle_gamma 90.00
loop_
_atom_site_label
_atom_site_type_symbol
_atom_site_fract_x
_atom_site_fract_y
_atom_site_fract_z
Hg1 Hg 0.000 0.000 0.000
Bi1 Bi 0.500 0.500 0.500
Cl1 Cl 0.000 0.500 0.500
```

Results
energy above the lowest structure with this stoichiometry = 0.066 eV per atom
magnetization = 0.0 μB per formula unit
ΔE_f (raw) = -0.659 eV/atom



HgBiP2Cl at its PBEsol-relaxed geometry. Source: the Alexandria database, functional SCAN.

The structure in CIF format:
```
data_HgBiP2Cl
_symmetry_space_group_name_H-M 'P 4/m m m'
_symmetry_Int_Tables_number 123
_symmetry_space_group_name_Hall '-P 4 2'
_cell_length_a 5.298
_cell_length_b 5.298
_cell_length_c 5.320
_cell_angle_alpha 90.00
_cell_angle_beta 90.00
_cell_angle_gamma 90.00
loop_
_atom_site_label
_atom_site_type_symbol
_atom_site_fract_x
_atom_site_fract_y
_atom_site_fract_z
Hg1 Hg 0.000 0.000 0.000
Bi1 Bi 0.500 0.500 0.500
P1 P 0.000 0.500 0.500
Cl1 Cl 0.500 0.500 0.000
```

Results
density of states at the Fermi level = 2.449 states/eV per cell
magnetization = 2.9 μB per formula unit
ΔE_f (raw) = 0.777 eV/atom



HoBi2ClO4 at its PBEsol-relaxed geometry. Source: the Alexandria database, functional SCAN.

The structure in CIF format:
```
data_HoBi2ClO4
_symmetry_space_group_name_H-M 'P 4/m m m'
_symmetry_Int_Tables_number 123
_symmetry_space_group_name_Hall '-P 4 2'
_cell_length_a 3.836
_cell_length_b 3.836
_cell_length_c 8.813
_cell_angle_alpha 90.00
_cell_angle_beta 90.00
_cell_angle_gamma 90.00
loop_
_atom_site_label
_atom_site_type_symbol
_atom_site_fract_x
_atom_site_fract_y
_atom_site_fract_z
Ho1 Ho 0.000 0.000 0.000
Bi1 Bi 0.500 0.500 0.282
Cl1 Cl 0.000 0.000 0.500
O1 O 0.000 0.500 0.154
```

Results
density of states at the Fermi level = 0.000 states/eV per cell
magnetization = 0.0 μB per formula unit
ΔE_f (raw) = -2.136 eV/atom



BiIClO2 at its PBEsol-relaxed geometry. Source: the Alexandria database, functional SCAN.

The structure in CIF format:
```
data_BiIClO2
_symmetry_space_group_name_H-M 'P 4/m m m'
_symmetry_Int_Tables_number 123
_symmetry_space_group_name_Hall '-P 4 2'
_cell_length_a 4.337
_cell_length_b 4.337
_cell_length_c 5.074
_cell_angle_alpha 90.00
_cell_angle_beta 90.00
_cell_angle_gamma 90.00
loop_
_atom_site_label
_atom_site_type_symbol
_atom_site_fract_x
_atom_site_fract_y
_atom_site_fract_z
Bi1 Bi 0.000 0.000 0.000
I1 I 0.500 0.500 0.000
Cl1 Cl 0.500 0.500 0.500
O1 O 0.000 0.500 0.500
```

Results
density of states at the Fermi level = 2.803 states/eV per cell
magnetization = 0.0 μB per formula unit
ΔE_f (raw) = 0.932 eV/atom



BiP2ICl at its PBEsol-relaxed geometry. Source: the Alexandria database, functional SCAN.

The structure in CIF format:
```
data_BiP2ICl
_symmetry_space_group_name_H-M 'P 4/m m m'
_symmetry_Int_Tables_number 123
_symmetry_space_group_name_Hall '-P 4 2'
_cell_length_a 5.158
_cell_length_b 5.158
_cell_length_c 4.992
_cell_angle_alpha 90.00
_cell_angle_beta 90.00
_cell_angle_gamma 90.00
loop_
_atom_site_label
_atom_site_type_symbol
_atom_site_fract_x
_atom_site_fract_y
_atom_site_fract_z
Bi1 Bi 0.000 0.000 0.000
P1 P 0.000 0.500 0.500
I1 I 0.500 0.500 0.500
Cl1 Cl 0.500 0.500 0.000
```

Results
density of states at the Fermi level = 2.386 states/eV per cell
magnetization = 0.0 μB per formula unit
ΔE_f (raw) = 1.062 eV/atom



BiPICl2 at its PBEsol-relaxed geometry. Source: the Alexandria database, functional SCAN.

The structure in CIF format:
```
data_BiPICl2
_symmetry_space_group_name_H-M 'P 4/m m m'
_symmetry_Int_Tables_number 123
_symmetry_space_group_name_Hall '-P 4 2'
_cell_length_a 5.136
_cell_length_b 5.136
_cell_length_c 5.833
_cell_angle_alpha 90.00
_cell_angle_beta 90.00
_cell_angle_gamma 90.00
loop_
_atom_site_label
_atom_site_type_symbol
_atom_site_fract_x
_atom_site_fract_y
_atom_site_fract_z
Bi1 Bi 0.000 0.000 0.000
P1 P 0.000 0.000 0.500
I1 I 0.500 0.500 0.500
Cl1 Cl 0.000 0.500 0.000
```

Results
density of states at the Fermi level = 2.961 states/eV per cell
magnetization = 0.0 μB per formula unit
ΔE_f (raw) = 0.145 eV/atom



Rb2InBiCl6 at its PBEsol-relaxed geometry. Source: the Alexandria database, functional SCAN.

The structure in CIF format:
```
data_Rb2InBiCl6
_symmetry_space_group_name_H-M 'F m -3 m'
_symmetry_Int_Tables_number 225
_symmetry_space_group_name_Hall '-F 4 2 3'
_cell_length_a 11.128
_cell_length_b 11.128
_cell_length_c 11.128
_cell_angle_alpha 90.00
_cell_angle_beta 90.00
_cell_angle_gamma 90.00
loop_
_atom_site_label
_atom_site_type_symbol
_atom_site_fract_x
_atom_site_fract_y
_atom_site_fract_z
Rb1 Rb 0.250 0.250 0.250
In1 In 0.000 0.000 0.000
Bi1 Bi 0.000 0.000 0.500
Cl1 Cl 0.000 0.000 0.258
```

Results
magnetization = 0.0 μB per formula unit
ΔE_f (raw) = -1.437 eV/atom